Record 1
First-principles (PBE) data for a geometry-optimized BaMgCdBr6 structure, as listed in the Alexandria database.

For the uncorrected formation energy, the calculation gives -1.4783 eV per atom. The value obtained for the raw total energy is -3.086 eV/atom.

Lattice parameters (Å, degrees): 7.1492 7.1492 14.0362 90.00 90.00 120.00
Last column: nearest neighbours and their distance in Å.
Space group P-31c (No. 163)
Asymmetric unit:
Ba: 0.0000 0.0000 0.0000 [2 per cell]  6 Br 3.27
Mg: 0.3333 0.6667 0.2500 [2 per cell]  6 Br 2.71
Cd: 0.3333 0.6667 0.7500 [2 per cell]  6 Br 2.81
Br: 0.0113 0.3752 0.1377 [12 per cell]  1 Mg 2.71, 1 Cd 2.81

Record 2
First-principles (PBE) data for a geometry-optimized BaMn2CdBr8 structure, as listed in the Alexandria database.

For the uncorrected formation energy, the calculation gives -1.0521 eV per atom. The value obtained for the raw total energy is -3.932 eV/atom.

Lattice parameters (Å, degrees): 7.8703 7.8703 8.7904 90.00 90.00 120.00
Last column: nearest neighbours and their distance in Å.
Space group P-3m1 (No. 164)
Asymmetric unit:
Ba: 0.0000 0.0000 0.0000 [1 per cell]  6 Br 3.35
Mn: 0.3333 0.6667 0.2030 [2 per cell]  4 Br 2.40-2.52
Cd: 0.0000 0.0000 0.5000 [1 per cell]  6 Br 2.81
Br: 0.1575 0.3151 0.2930 [6 per cell]  1 Mn 2.52, 1 Cd 2.81
Br: 0.3333 0.6667 0.9303 [2 per cell]  1 Mn 2.40

Record 3
First-principles (PBE) data for a geometry-optimized BaCdBr2N structure, as listed in the Alexandria database.

For the uncorrected formation energy, the calculation gives 0.0570 eV per atom. The value obtained for the raw total energy is -2.845 eV/atom.

Lattice parameters (Å, degrees): 6.2544 6.2544 7.9954 90.00 90.00 90.00
Last column: nearest neighbours and their distance in Å.
Space group P4/mmm (No. 123)
Asymmetric unit:
Ba: 0.0000 0.0000 0.0000 [1 per cell]  4 Br 3.13
Cd: 0.0000 0.0000 0.5000 [1 per cell]  2 Ba 4.00, 4 N 4.42
Br: 0.0000 0.5000 0.0000 [2 per cell]  2 Ba 3.13
N: 0.5000 0.5000 0.5000 [1 per cell]  4 Cd 4.42

Record 4
First-principles (PBE) data for a geometry-optimized Ba3Cd2Br2O4 structure, as listed in the Alexandria database.

For the uncorrected formation energy, the calculation gives -1.8881 eV per atom. The value obtained for the raw total energy is -4.686 eV/atom.

Lattice parameters (Å, degrees): 4.5006 4.5006 24.4037 90.00 90.00 90.00
Last column: nearest neighbours and their distance in Å.
Space group I4/mmm (No. 139)
Asymmetric unit:
Ba: 0.0000 0.0000 0.0000 [2 per cell]  8 O 2.92
Ba: 0.0000 0.0000 0.1473 [4 per cell]  4 O 2.84
Cd: 0.0000 0.0000 0.4221 [4 per cell]  4 O 2.25
Br: 0.0000 0.0000 0.2981 [4 per cell]  1 Cd 3.03
O: 0.0000 0.5000 0.0765 [8 per cell]  2 Cd 2.25

Record 5
First-principles (PBE) data for a geometry-optimized BaCdPbBr6 structure, as listed in the Alexandria database.

For the uncorrected formation energy, the calculation gives -1.2949 eV per atom. The value obtained for the raw total energy is -3.138 eV/atom.

Lattice parameters (Å, degrees): 7.5595 7.5595 13.9175 90.00 90.00 120.00
Last column: nearest neighbours and their distance in Å.
Space group P-31c (No. 163)
Asymmetric unit:
Ba: 0.0000 0.0000 0.0000 [2 per cell]  6 Br 3.27
Cd: 0.3333 0.6667 0.2500 [2 per cell]  6 Br 2.82
Pb: 0.3333 0.6667 0.7500 [2 per cell]  6 Br 3.05
Br: 0.0233 0.3701 0.1316 [12 per cell]  1 Cd 2.82, 1 Pb 3.05

Record 6
First-principles (PBE) data for a geometry-optimized BaCdPb2Br8 structure, as listed in the Alexandria database.

For the uncorrected formation energy, the calculation gives -1.1795 eV per atom. The value obtained for the raw total energy is -3.149 eV/atom.

Lattice parameters (Å, degrees): 6.8867 9.2065 7.1733 90.00 90.93 90.00
Last column: nearest neighbours and their distance in Å.
Space group P2/m (No. 10)
Asymmetric unit:
Ba: 0.0000 0.0000 0.0000 [1 per cell]  6 Br 3.22-3.24
Cd: 0.0000 0.5000 0.0000 [1 per cell]  6 Br 2.80-2.94
Pb: 0.5000 0.2655 0.5000 [2 per cell]  6 Br 3.05-3.09
Br: 0.2384 0.2817 0.1495 [4 per cell]  1 Cd 2.80, 1 Pb 3.07
Br: 0.2437 0.5000 0.6678 [2 per cell]  1 Cd 2.94, 2 Pb 3.05
Br: 0.2682 0.0000 0.6366 [2 per cell]  2 Pb 3.09, 1 Ba 3.22

Record 7
First-principles (PBE) data for a geometry-optimized BaCd2PbBr8 structure, as listed in the Alexandria database.

For the uncorrected formation energy, the calculation gives -1.1073 eV per atom. The value obtained for the raw total energy is -2.844 eV/atom.

Lattice parameters (Å, degrees): 7.0749 7.0749 10.2625 90.00 90.00 120.00
Last column: nearest neighbours and their distance in Å.
Space group P-3 (No. 147)
Asymmetric unit:
Ba: 0.0000 0.0000 0.0000 [1 per cell]  12 Br 3.74-4.09
Cd: 0.3333 0.6667 0.7580 [2 per cell]  4 Br 2.60-2.63
Pb: 0.0000 0.0000 0.5000 [1 per cell]  6 Br 3.03
Br: 0.0244 0.7028 0.2957 [6 per cell]  1 Cd 2.63
Br: 0.3333 0.6667 0.0113 [2 per cell]  1 Cd 2.60

Record 8
First-principles (PBE) data for a geometry-optimized Ba2CdPdBr structure, as listed in the Alexandria database.

For the uncorrected formation energy, the calculation gives -0.7726 eV per atom. The value obtained for the raw total energy is -3.098 eV/atom.

Lattice parameters (Å, degrees): 6.1373 6.1373 5.2354 90.00 90.00 90.00
Last column: nearest neighbours and their distance in Å.
Space group P4/mmm (No. 123)
Asymmetric unit:
Ba: 0.0000 0.5000 0.0000 [2 per cell]  2 Pd 3.07
Cd: 0.0000 0.0000 0.5000 [1 per cell]  2 Pd 2.62
Pd: 0.0000 0.0000 0.0000 [1 per cell]  2 Cd 2.62
Br: 0.5000 0.5000 0.5000 [1 per cell]  8 Ba 4.03, 4 Cd 4.34

Record 9
First-principles (PBE) data for a geometry-optimized Ba2CdPtBr structure, as listed in the Alexandria database.

For the uncorrected formation energy, the calculation gives -0.8857 eV per atom. The value obtained for the raw total energy is -3.381 eV/atom.

Lattice parameters (Å, degrees): 6.1421 6.1421 5.2408 90.00 90.00 90.00
Last column: nearest neighbours and their distance in Å.
Space group P4/mmm (No. 123)
Asymmetric unit:
Ba: 0.0000 0.5000 0.0000 [2 per cell]  2 Pt 3.07
Cd: 0.0000 0.0000 0.5000 [1 per cell]  2 Pt 2.62
Pt: 0.0000 0.0000 0.0000 [1 per cell]  2 Cd 2.62
Br: 0.5000 0.5000 0.5000 [1 per cell]  8 Ba 4.04, 4 Cd 4.34

Record 10
First-principles (PBE) data for a geometry-optimized Ba2CdS2Br2 structure, as listed in the Alexandria database.

For the uncorrected formation energy, the calculation gives -1.6521 eV per atom. The value obtained for the raw total energy is -3.989 eV/atom.

Lattice parameters (Å, degrees): 5.1420 5.1420 16.9189 90.00 90.00 90.00
Last column: nearest neighbours and their distance in Å.
Space group I4/mmm (No. 139)
Asymmetric unit:
Ba: 0.0000 0.0000 0.1187 [4 per cell]  4 S 3.26, 1 Br 3.32
Cd: 0.0000 0.0000 0.5000 [2 per cell]  4 S 2.57
S: 0.0000 0.5000 0.0000 [4 per cell]  2 Cd 2.57
Br: 0.0000 0.0000 0.3147 [4 per cell]  1 Cd 3.13, 1 Ba 3.32

Record 11
First-principles (PBE) data for a geometry-optimized BaSr2CdBr8 structure, as listed in the Alexandria database.

For the uncorrected formation energy, the calculation gives -1.7793 eV per atom. The value obtained for the raw total energy is -3.411 eV/atom.

Lattice parameters (Å, degrees): 6.9798 9.2945 7.1425 90.00 90.57 90.00
Last column: nearest neighbours and their distance in Å.
Space group P2/m (No. 10)
Asymmetric unit:
Ba: 0.0000 0.0000 0.0000 [1 per cell]  6 Br 3.21-3.25
Sr: 0.5000 0.2624 0.5000 [2 per cell]  6 Br 3.07-3.09
Cd: 0.0000 0.5000 0.0000 [1 per cell]  6 Br 2.81-2.93
Br: 0.2280 0.2809 0.1563 [4 per cell]  1 Cd 2.81, 1 Sr 3.09
Br: 0.2541 0.5000 0.6757 [2 per cell]  1 Cd 2.93, 2 Sr 3.07
Br: 0.2739 0.0000 0.6410 [2 per cell]  2 Sr 3.08, 1 Ba 3.21

Record 12
First-principles (PBE) data for a geometry-optimized BaTl2CdBr6 structure, as listed in the Alexandria database.

For the uncorrected formation energy, the calculation gives -1.2222 eV per atom. The value obtained for the raw total energy is -2.983 eV/atom.

Lattice parameters (Å, degrees): 8.1006 8.1006 20.6237 90.00 90.00 120.00
Last column: nearest neighbours and their distance in Å.
Space group R3 (No. 146, hexagonal axes)
Asymmetric unit:
Ba: 0.0000 0.0000 0.0000 [3 per cell]  6 Br 3.19-3.28
Tl: 0.0000 0.0000 0.2100 [3 per cell]  6 Br 3.31-3.43
Tl: 0.0000 0.0000 0.7127 [3 per cell]  6 Br 3.37-3.41
Cd: 0.0000 0.0000 0.5024 [3 per cell]  6 Br 2.80-2.87
Br: 0.0357 0.7439 0.5901 [9 per cell]  1 Cd 2.87, 1 Ba 3.19
Br: 0.0709 0.3449 0.0993 [9 per cell]  1 Cd 2.80

Record 13
First-principles (PBE) data for a geometry-optimized BaVCd2Br structure, as listed in the Alexandria database.

For the uncorrected formation energy, the calculation gives 0.8266 eV per atom. The value obtained for the raw total energy is -2.082 eV/atom.

Lattice parameters (Å, degrees): 5.9117 5.9117 5.9892 90.00 90.00 90.00
Last column: nearest neighbours and their distance in Å.
Space group P4/mmm (No. 123)
Asymmetric unit:
Ba: 0.0000 0.0000 0.0000 [1 per cell]  2 Br 2.99
V: 0.5000 0.5000 0.0000 [1 per cell]  4 Ba 4.18, 8 Cd 4.21
Cd: 0.0000 0.5000 0.5000 [2 per cell]  2 Br 2.96
Br: 0.0000 0.0000 0.5000 [1 per cell]  4 Cd 2.96, 2 Ba 2.99

Record 14
First-principles (PBE) data for a geometry-optimized BaY2CdBr structure, as listed in the Alexandria database.

For the uncorrected formation energy, the calculation gives 0.1896 eV per atom. The value obtained for the raw total energy is -3.298 eV/atom.

Lattice parameters (Å, degrees): 5.7242 5.7242 6.7180 90.00 90.00 90.00
Last column: nearest neighbours and their distance in Å.
Space group P4/mmm (No. 123)
Asymmetric unit:
Ba: 0.0000 0.0000 0.0000 [1 per cell]  4 Br 4.05, 8 Y 4.41
Y: 0.0000 0.5000 0.5000 [2 per cell]  2 Cd 2.86
Cd: 0.5000 0.5000 0.5000 [1 per cell]  4 Y 2.86
Br: 0.5000 0.5000 0.0000 [1 per cell]  2 Cd 3.36

Record 15
First-principles (PBE) data for a geometry-optimized BaZn2CdBr8 structure, as listed in the Alexandria database.

For the uncorrected formation energy, the calculation gives -1.1431 eV per atom. The value obtained for the raw total energy is -2.707 eV/atom.

Lattice parameters (Å, degrees): 6.7807 6.7807 9.5980 90.00 90.00 120.00
Last column: nearest neighbours and their distance in Å.
Space group P-3 (No. 147)
Asymmetric unit:
Ba: 0.0000 0.0000 0.0000 [1 per cell]  12 Br 3.69-3.91
Zn: 0.3333 0.6667 0.7474 [2 per cell]  4 Br 2.42-2.43
Cd: 0.0000 0.0000 0.5000 [1 per cell]  6 Br 2.80
Br: 0.0093 0.6878 0.3130 [6 per cell]  1 Zn 2.43
Br: 0.3333 0.6667 0.9996 [2 per cell]  1 Zn 2.42

Record 16
First-principles (PBE) data for a geometry-optimized BaCe2Br6 structure, as listed in the Alexandria database.

For the uncorrected formation energy, the calculation gives -1.7735 eV per atom. The value obtained for the raw total energy is -4.421 eV/atom.

Lattice parameters (Å, degrees): 16.9364 10.2113 7.0486 90.00 106.34 90.00
Last column: nearest neighbours and their distance in Å.
Space group C2/c (No. 15)
Asymmetric unit:
Ba: 0.0000 0.2300 0.2500 [4 per cell]  8 Br 3.37-3.61
Ce: 0.2475 0.4957 0.9901 [8 per cell]  8 Br 3.04-3.29
Br: 0.1013 0.4253 0.6340 [8 per cell]  2 Ce 3.04-3.07
Br: 0.1020 0.0640 0.6590 [8 per cell]  2 Ce 3.07-3.10, 1 Ba 3.37
Br: 0.1963 0.2517 0.2196 [8 per cell]  4 Ce 3.18-3.29, 1 Ba 3.40

Record 17
First-principles (PBE) data for a geometry-optimized Ba2CeBr6 structure, as listed in the Alexandria database.

For the uncorrected formation energy, the calculation gives -1.8974 eV per atom. The value obtained for the raw total energy is -4.099 eV/atom.

Lattice parameters (Å, degrees): 7.5537 7.5537 14.0560 90.00 90.00 90.00
Last column: nearest neighbours and their distance in Å.
Space group P4_2/mnm (No. 136)
Asymmetric unit:
Ba: 0.0000 0.0000 0.1707 [4 per cell]  6 Br 3.23-3.30
Ce: 0.0000 0.0000 0.5000 [2 per cell]  6 Br 3.03-3.07
Br: 0.1979 0.1979 0.3452 [8 per cell]  1 Ce 3.03, 2 Ba 3.23-3.24
Br: 0.2127 0.2127 0.0000 [4 per cell]  1 Ce 3.07, 2 Ba 3.30

Record 18
First-principles (PBE) data for a geometry-optimized BaCe2Br11 structure, as listed in the Alexandria database.

For the uncorrected formation energy, the calculation gives -1.4845 eV per atom. The value obtained for the raw total energy is -3.784 eV/atom.

Lattice parameters (Å, degrees): 11.1841 14.0425 15.0791 90.00 90.00 90.00
Last column: nearest neighbours and their distance in Å.
Space group Ibam (No. 72)
Asymmetric unit:
Ba: 0.0000 0.0000 0.2500 [4 per cell]  8 Br 3.30-3.38
Ce: 0.1552 0.3075 0.0000 [8 per cell]  6 Br 2.77-3.07
Br: 0.0000 0.5000 0.0000 [4 per cell]  2 Br 3.01, 2 Ce 3.21
Br: 0.1084 0.3038 0.5000 [8 per cell]  2 Ce 2.95-3.07, 1 Br 3.01
Br: 0.1132 0.1785 0.1352 [16 per cell]  1 Ce 2.77
Br: 0.2297 0.0854 0.3715 [16 per cell]  1 Ce 2.77

Record 19
First-principles (PBE) data for a geometry-optimized BaCeBr5 structure, as listed in the Alexandria database.

For the uncorrected formation energy, the calculation gives -1.9283 eV per atom. The value obtained for the raw total energy is -4.246 eV/atom.

Lattice parameters (Å, degrees): 13.2264 9.3523 11.2877 90.00 114.67 90.00
Last column: nearest neighbours and their distance in Å.
Space group C2/c (No. 15)
Asymmetric unit:
Ba: 0.0000 0.0478 0.2500 [4 per cell]  7 Br 3.20-3.54
Ce: 0.0000 0.5000 0.0000 [4 per cell]  6 Br 2.86-2.95
Br: 0.0000 0.4072 0.2500 [4 per cell]  2 Ce 2.95
Br: 0.0365 0.1928 0.9812 [8 per cell]  1 Ce 2.94
Br: 0.2336 0.4470 0.6282 [8 per cell]  1 Ce 2.86

Record 20
First-principles (PBE) data for a geometry-optimized CsBaCeBr6 structure, as listed in the Alexandria database.

For the uncorrected formation energy, the calculation gives -1.9183 eV per atom. The value obtained for the raw total energy is -4.001 eV/atom.

Lattice parameters (Å, degrees): 8.3824 8.3824 13.3285 90.00 90.00 120.00
Last column: nearest neighbours and their distance in Å.
Space group P-31c (No. 163)
Asymmetric unit:
Cs: 0.3333 0.6667 0.2500 [2 per cell]  6 Br 3.63
Ba: 0.0000 0.0000 0.0000 [2 per cell]  6 Br 3.28
Ce: 0.3333 0.6667 0.7500 [2 per cell]  6 Br 2.93
Br: 0.0646 0.3665 0.6229 [12 per cell]  1 Ce 2.93, 1 Ba 3.28